# TaNbCr2F

A relaxed structure of TaNbCr2F (PBE+U, the Alexandria database).

Lattice parameters (Å, degrees): 5.195 3.873 5.195 90.00 90.00 90.00
Sites, in units of the cell vectors:
Nb  0.500  0.500  0.500
F  0.000  0.500  0.000
Ta  0.000  0.000  0.000
Cr  0.500  0.000  0.000
Cr  0.000  0.000  0.500

Calculated values
* energy: -6.89 eV/atom
* space group: No. 123
* crystal system: tetragonal